Pm2AgAs: optimized geometry, PBE.

Geometry as POSCAR:
```
Pm2AgAs
1.0
3.7652 0.0000 0.0000
0.0000 3.7652 0.0000
0.0000 0.0000 7.0663
As Ag Pm
1 1 2
direct
0.5000 0.5000 0.5000
0.5000 0.5000 0.0000
0.0000 0.0000 0.7347
0.0000 0.0000 0.2653
```

DFT formation energy, eV/f.u.: -2.872
Total magnetization, μB per atom: 0.00